{
  "formula": "AsS3Br",
  "functional": "PBE",
  "state": "relaxed",
  "lattice": [[-0.580, -3.215, -3.399], [7.767, -0.756, -0.608], [-0.140, -6.114, 5.808]],
  "species": ["As", "As", "S", "S", "S", "S", "S", "S", "Br", "Br"],
  "fractional_positions": [[0.778, 0.638, 0.299], [0.278, 0.715, 0.799], [0.770, 0.444, 0.799], [0.531, 0.812, 0.118], [0.031, 0.541, 0.618], [0.271, 0.909, 0.299], [0.031, 0.541, 0.981], [0.531, 0.812, 0.481], [0.512, 0.370, 0.299], [0.012, 0.983, 0.799]],
  "magnetic_moment_mub_per_cell": 0.0,
  "energy_ev_per_atom": -3.759,
  "formation_energy_uncorrected_ev_per_atom": -0.02
}